! MgCrSF5, relaxed, DFT PBE with a Hubbard U; values from VASP
&SYSTEM
  ibrav = 0, nat = 16, ntyp = 4
/
ATOMIC_SPECIES
Mg 24.30 Mg.upf
Cr 52.00 Cr.upf
S 32.06 S.upf
F 19.00 F.upf
CELL_PARAMETERS angstrom
5.947 0.025 -0.451
-1.934 6.891 0.488
-1.454 -3.533 7.127
ATOMIC_POSITIONS crystal
Mg 0.348 0.605 0.865
Mg 0.382 0.135 0.806
Cr 0.120 0.690 0.444
Cr 0.055 0.400 0.052
S 0.700 0.203 0.432
S 0.372 0.052 0.264
F 0.957 0.632 0.172
F 0.776 0.476 0.477
F 0.173 0.177 0.952
F 0.331 0.783 0.730
F 0.716 0.190 0.964
F 0.388 0.611 0.113
F 0.129 0.977 0.558
F 0.469 0.396 0.773
F 0.149 0.413 0.308
F 0.004 0.445 0.822
! Relative energy among the computed polymorphs in eV/f.u.: 0.70
! Symmetry: No. 1
! Density in g/cm3: 2.29
! DFT total energy in eV/atom: -5.27